Record 1
Here is a relaxed PmPdRhAu crystal from Alexandria. Energies are from GGA-PBE.

Results
distance to the lowest polymorph of the same formula: 116.6 meV per atom
space-group type: No. 216
uncorrected energy: -22.7 eV for the cell shown
calculated formation energy: -540.7 meV per atom

Cell lengths 4.750, 4.750, 4.750 Å; angles 60.00, 60.00, 60.00 degrees
Atoms (fractional coordinates):
Pd 0.250 0.250 0.250
Au 0.000 0.000 0.000
Rh 0.750 0.750 0.750
Pm 0.500 0.500 0.500

Record 2
Here is a relaxed Dy5Tl2Rh crystal from Alexandria. Energies are from GGA-PBE.

Results
distance to the lowest polymorph of the same formula: 0.0 meV per atom
space-group type: No. 55
uncorrected energy: -77.3 eV for the cell shown
calculated formation energy: -446.6 meV per atom

Cell lengths 4.747, 7.462, 12.306 Å; angles 90.00, 90.00, 90.00 degrees
Atoms (fractional coordinates):
Dy 0.500 0.681 0.423
Dy 0.000 0.500 0.000
Dy 0.500 0.819 0.923
Dy 0.000 0.134 0.793
Dy 0.000 0.866 0.207
Dy 0.500 0.319 0.577
Dy 0.000 0.634 0.707
Dy 0.000 0.000 0.500
Dy 0.500 0.181 0.077
Dy 0.000 0.366 0.293
Tl 0.500 0.915 0.666
Tl 0.500 0.085 0.334
Tl 0.500 0.585 0.166
Tl 0.500 0.415 0.834
Rh 0.000 0.500 0.500
Rh 0.000 0.000 0.000

Record 3
Here is a relaxed CaTb6Er6 crystal from Alexandria. Energies are from GGA-PBE.

Results
space-group type: No. 191
uncorrected energy: -53.6 eV for the cell shown
calculated formation energy: 271.4 meV per atom

Cell lengths 6.689, 6.689, 11.338 Å; angles 90.00, 90.00, 120.02 degrees
Last column: magnetic moment on the atom in μB.
Atoms (fractional coordinates):
Ca 0.000 0.000 0.000  0.01
Er 0.500 0.000 0.753  0.20
Er 0.000 0.500 0.247  0.20
Er 0.500 0.500 0.247  0.20
Er 0.500 0.500 0.753  0.20
Er 0.500 0.000 0.247  0.20
Er 0.000 0.500 0.753  0.20
Tb 0.667 0.333 0.000  0.11
Tb 0.000 0.000 0.652  0.22
Tb 0.333 0.667 0.000  0.11
Tb 0.000 0.000 0.348  0.22
Tb 0.667 0.333 0.500  0.30
Tb 0.333 0.667 0.500  0.30

Record 4
Here is a relaxed KZr2Fe crystal from Alexandria. Energies are from GGA-PBE.

Results
distance to the lowest polymorph of the same formula: 751.3 meV per atom
space-group type: No. 65
uncorrected energy: -22.4 eV for the cell shown
calculated formation energy: 1061.9 meV per atom

Cell lengths 6.139, 6.139, 2.816 Å; angles 90.00, 90.00, 119.49 degrees
Last column: magnetic moment on the atom in μB.
Atoms (fractional coordinates):
K 0.000 0.500 0.500  -0.02
Fe 0.500 0.000 0.500  2.88
Zr 0.500 0.500 0.000  -0.16
Zr 0.000 0.000 0.000  -0.16

Question: Look up the calculated formation energy of the second one.
Answer: -446.6 meV per atom

Repeat the fourth record exactly.
Here is a relaxed KZr2Fe crystal from Alexandria. Energies are from GGA-PBE.

Results
distance to the lowest polymorph of the same formula: 751.3 meV per atom
space-group type: No. 65
uncorrected energy: -22.4 eV for the cell shown
calculated formation energy: 1061.9 meV per atom

Cell lengths 6.139, 6.139, 2.816 Å; angles 90.00, 90.00, 119.49 degrees
Last column: magnetic moment on the atom in μB.
Atoms (fractional coordinates):
K 0.000 0.500 0.500  -0.02
Fe 0.500 0.000 0.500  2.88
Zr 0.500 0.500 0.000  -0.16
Zr 0.000 0.000 0.000  -0.16

Question: The highest calculated formation energy belongs to which entry?
Answer: KZr2Fe